Below is an optimized crystal structure of BeZnPb, with properties calculated at the GGA-PBE level.

Values from the calculation:
As for the energy relative to the elements: 0.494 eV per atom. The space-group type is No. 156.

Lattice parameters (Å, degrees): 3.3796 3.3796 5.8865 90.00 90.00 120.00
With the nearest neighbours (Å) after each atom.
Fractional positions:
Pb 0.3333 0.6667 0.3034  3 Be 2.76
Be 0.0000 0.0000 0.9707  3 Zn 2.43
Zn 0.6667 0.3333 0.7259  3 Be 2.43

***

Below is an optimized crystal structure of La2Hf2Ru, with properties calculated at the GGA-PBE level.

Values from the calculation:
As for the energy relative to the elements: 0.482 eV per atom. The space-group type is No. 139. As for the energy above the most stable polymorph in this dataset: 517 meV/atom.

Lattice parameters (Å, degrees): 3.7859 3.7859 10.2028 79.31 79.31 90.00
With the nearest neighbours (Å) after each atom.
Fractional positions:
Ru 0.0000 0.0000 0.0000  8 La 3.13
Hf 0.7500 0.2500 0.5000  4 Hf 2.68
Hf 0.2500 0.7500 0.5000  4 Hf 2.68
La 0.4175 0.4175 0.1651  4 Ru 3.13, 1 La 3.25
La 0.5825 0.5825 0.8349  4 Ru 3.13, 1 La 3.25

***

Below is an optimized crystal structure of Tb2CeCd2In2, with properties calculated at the GGA-PBE level.

Values from the calculation:
As for the energy relative to the elements: -0.225 eV per atom. The space-group type is No. 166.

Lattice parameters (Å, degrees): 4.9914 4.9914 9.4035 74.61 74.61 60.00
With the nearest neighbours (Å) after each atom.
Fractional positions:
Tb 0.1284 0.1284 0.6147  4 In 3.23-3.52, 3 Cd 3.29, 1 Ce 3.45, 3 Tb 3.54
Tb 0.8716 0.8716 0.3853  4 In 3.23-3.52, 3 Cd 3.29, 1 Ce 3.45, 3 Tb 3.54
Ce 0.0000 0.0000 0.0000  6 Cd 3.43, 2 Tb 3.45, 6 In 3.50
Cd 0.5972 0.5972 0.2083  3 In 2.88
Cd 0.4028 0.4028 0.7917  3 In 2.88
In 0.7406 0.7406 0.7781  3 Cd 2.88
In 0.2594 0.2594 0.2219  3 Cd 2.88